# 1
A geometry-optimized FeTeBr structure, computed with PBE-GGA.

Output
symmetry	I4mm, No. 107
final energy	-12.85	eV for the cell shown
E_form (uncorrected)	0.143	eV per atom

POSCAR file:
```
FeTeBr
1.0
-1.6237 1.6237 7.2502
1.6237 -1.6237 7.2502
1.6237 1.6237 -7.2502
Fe Te Br
1 1 1
direct
0.0000 0.0000 0.0000
0.3778 0.3778 0.0000
0.6114 0.6114 0.0000
```


# 2
A geometry-optimized FeTeBr7 structure, computed with PBE-GGA.

Output
symmetry	P1, No. 1
final energy	-53.89	eV for the cell shown
E_form (uncorrected)	-0.403	eV per atom

POSCAR file:
```
FeTeBr7
1.0
7.0630 0.0000 0.0000
0.8931 9.2673 0.0000
3.1650 0.4581 11.0593
Fe Te Br
2 2 14
direct
0.0000 0.0000 0.0000
0.2361 0.4452 0.4011
0.4748 0.3654 0.9590
0.6787 0.8099 0.3987
0.0206 0.6421 0.4935
0.1680 0.3862 0.2199
0.1836 0.2489 0.5365
0.1959 0.4786 0.8767
0.3356 0.0576 0.9540
0.4154 0.9218 0.3029
0.4589 0.7925 0.6127
0.5711 0.4992 0.3603
0.6050 0.6002 0.9895
0.7198 0.3202 0.7568
0.7826 0.1993 0.0851
0.8179 0.0409 0.4289
0.9392 0.9218 0.8289
0.9748 0.7996 0.1433
```


# 3
A geometry-optimized FeTe2Br structure, computed with PBE-GGA.

Output
symmetry	R-3m, No. 166
final energy	-16.71	eV for the cell shown
energy relative to the lowest polymorph listed for this composition	14	meV/atom
E_form (uncorrected)	-0.074	eV per atom

POSCAR file:
```
FeTe2Br
1.0
1.8930 1.0929 7.8576
-1.8930 1.0929 7.8576
0.0000 -2.1858 7.8576
Fe Te Br
1 2 1
direct
0.0000 0.0000 0.0000
0.2732 0.2732 0.2732
0.7268 0.7268 0.7268
0.5000 0.5000 0.5000
```


# 4
A geometry-optimized FeTe2Br structure, computed with PBE-GGA.

Output
symmetry	Cm, No. 8
final energy	-16.48	eV for the cell shown
energy relative to the lowest polymorph listed for this composition	73	meV/atom
E_form (uncorrected)	-0.015	eV per atom

POSCAR file:
```
FeTe2Br
1.0
6.1479 -1.7665 0.0000
6.1479 1.7665 0.0000
-1.6270 0.0000 5.7326
Fe Te Br
1 2 1
direct
0.0000 0.0000 0.0000
0.5399 0.5399 0.3601
0.6730 0.6730 0.0493
0.3686 0.3686 0.7375
```


# 5
A geometry-optimized Fe3TeBr structure, computed with PBE-GGA.

Output
symmetry	Pm-3m, No. 221
final energy	-25.06	eV for the cell shown
energy relative to the lowest polymorph listed for this composition	12	meV/atom
E_form (uncorrected)	1.028	eV per atom

POSCAR file:
```
Fe3TeBr
1.0
4.9154 0.0000 0.0000
0.0000 4.9154 0.0000
0.0000 0.0000 4.9154
Fe Te Br
3 1 1
direct
0.0000 0.0000 0.5000
0.0000 0.5000 0.0000
0.5000 0.0000 0.0000
0.0000 0.0000 0.0000
0.5000 0.5000 0.5000
```


# 6
A geometry-optimized Fe2TeBr structure, computed with PBE-GGA.

Output
symmetry	Cmmm, No. 65
final energy	-19.34	eV for the cell shown
energy relative to the lowest polymorph listed for this composition	677	meV/atom
E_form (uncorrected)	0.601	eV per atom

POSCAR file:
```
Fe2TeBr
1.0
1.6532 -3.1637 0.0000
1.6532 3.1637 0.0000
0.0000 0.0000 8.0721
Fe Te Br
2 1 1
direct
0.0000 0.0000 0.2493
0.0000 0.0000 0.7507
0.5000 0.5000 0.5000
0.5000 0.5000 0.0000
```


# 7
A geometry-optimized FeTeBr structure, computed with PBE-GGA.

Output
symmetry	F-43m, No. 216
final energy	-12.03	eV for the cell shown
E_form (uncorrected)	0.417	eV per atom

POSCAR file:
```
FeTeBr
1.0
0.0000 3.2089 3.2089
3.2089 0.0000 3.2089
3.2089 3.2089 0.0000
Fe Te Br
1 1 1
direct
0.0000 0.0000 0.0000
0.2500 0.2500 0.2500
0.7500 0.7500 0.7500
```


# 8
A geometry-optimized FeTe2Br structure, computed with PBE-GGA.

Output
symmetry	P2/m, No. 10
final energy	-16.59	eV for the cell shown
energy relative to the lowest polymorph listed for this composition	45	meV/atom
E_form (uncorrected)	-0.042	eV per atom

POSCAR file:
```
FeTe2Br
1.0
5.2904 0.0000 0.0000
0.0000 3.9648 0.0000
-2.6249 0.0000 4.9340
Fe Te Br
1 2 1
direct
0.0000 0.0000 0.0000
0.1706 0.5000 0.3420
0.8294 0.5000 0.6580
0.5000 0.0000 0.0000
```